DFT (GGA-PBEsol) results for Na3YSc after structural relaxation.

Calculated values
The density of states at the Fermi level comes out at 7.0 states/eV per cell. As for the energy of formation: 1.28 eV per atom. As for the total energy: -2.24 eV/atom.

Unit cell a=5.7586 b=5.7586 c=5.7586 alpha=90.00 beta=90.00 gamma=90.00
Space group Pm-3m (No. 221)
Asymmetric unit:
Na: 0.0000 0.0000 0.5000 (multiplicity 3)
Y: 0.0000 0.0000 0.0000 (multiplicity 1)
Sc: 0.5000 0.5000 0.5000 (multiplicity 1)